# 1
VASP calculation (GGA-PBE) on a geometry-optimized Sr5Mo structure.

Computed properties:
Calculated density   3.3 g/cm³
E above lowest polymorph   0 meV/atom
ΔH_f (0 K)   0.49 eV/atom
Space-group type   C2/m (12)
Total moment   0.48 μB/atom
Total energy   -16.28 eV for the cell shown

Unit cell a=7.336 b=7.336 c=10.052 alpha=68.68 beta=68.68 gamma=32.09
Site moments in Bohr magnetons follow the coordinates.
Fractional positions:
Sr: 0.164 0.164 0.221  0.01
Sr: 0.836 0.836 0.779  0.01
Sr: 0.871 0.871 0.373  0.00
Sr: 0.500 0.500 0.000  0.00
Sr: 0.129 0.129 0.627  0.00
Mo: 0.500 0.500 0.500  2.38

---

# 2
VASP calculation (GGA-PBE) on a geometry-optimized SrMo structure.

Computed properties:
Calculated density   4.4 g/cm³
E above lowest polymorph   75 meV/atom
ΔH_f (0 K)   0.51 eV/atom
Space-group type   C2/m (12)
Total moment   0.00 μB/atom
Total energy   -23.00 eV for the cell shown

Unit cell a=4.192 b=4.192 c=9.356 alpha=76.74 beta=76.74 gamma=60.00
Fractional positions:
Mo: 0.958 0.958 0.125
Mo: 0.292 0.292 0.125
Sr: 0.719 0.719 0.849
Sr: 0.531 0.531 0.401

---

# 3
VASP calculation (GGA-PBE) on a geometry-optimized SrMo structure.

Computed properties:
Calculated density   3.9 g/cm³
E above lowest polymorph   676 meV/atom
ΔH_f (0 K)   1.11 eV/atom
Space-group type   P6_3/m (176)
Total moment   0.00 μB/atom
Total energy   -61.80 eV for the cell shown

Unit cell a=12.604 b=12.604 c=3.396 alpha=90.00 beta=90.00 gamma=120.00
Fractional positions:
Sr: 0.870 0.228 0.250
Sr: 0.642 0.870 0.750
Sr: 0.772 0.642 0.250
Sr: 0.130 0.772 0.750
Sr: 0.358 0.130 0.250
Sr: 0.228 0.358 0.750
Mo: 0.942 0.513 0.250
Mo: 0.429 0.942 0.750
Mo: 0.487 0.429 0.250
Mo: 0.058 0.487 0.750
Mo: 0.571 0.058 0.250
Mo: 0.513 0.571 0.750

---

# 4
VASP calculation (GGA-PBE) on a geometry-optimized Sr3Mo4 structure.

Computed properties:
Calculated density   6.0 g/cm³
ΔH_f (0 K)   1.80 eV/atom
Space-group type   P6/mmm (191)
Total moment   0.44 μB/atom
Total energy   -35.77 eV for the cell shown

Unit cell a=6.404 b=6.404 c=5.061 alpha=90.00 beta=90.00 gamma=120.00
Site moments in Bohr magnetons follow the coordinates.
Fractional positions:
Sr: 0.000 0.500 0.000  0.01
Sr: 0.500 0.500 0.000  0.01
Sr: 0.500 0.000 0.000  0.01
Mo: 0.000 0.000 0.218  -0.35
Mo: 0.000 0.000 0.782  -0.35
Mo: 0.667 0.333 0.500  1.67
Mo: 0.333 0.667 0.500  1.67

---

# 5
VASP calculation (GGA-PBE) on a geometry-optimized SrMo structure.

Computed properties:
Calculated density   5.3 g/cm³
E above lowest polymorph   356 meV/atom
ΔH_f (0 K)   0.79 eV/atom
Space-group type   R-3m (166)
Total moment   0.00 μB/atom
Total energy   -21.88 eV for the cell shown

Unit cell a=10.674 b=10.674 c=10.674 alpha=19.26 beta=19.26 gamma=19.26
Fractional positions:
Mo: 0.019 0.019 0.019
Mo: 0.731 0.731 0.731
Sr: 0.483 0.483 0.483
Sr: 0.267 0.267 0.267

---

# 6
VASP calculation (GGA-PBE) on a geometry-optimized SrMo3 structure.

Computed properties:
Calculated density   6.4 g/cm³
E above lowest polymorph   67 meV/atom
ΔH_f (0 K)   0.75 eV/atom
Space-group type   Cmcm (63)
Total moment   0.00 μB/atom
Total energy   -62.33 eV for the cell shown

Unit cell a=7.040 b=7.040 c=4.293 alpha=90.00 beta=90.00 gamma=113.47
Fractional positions:
Sr: 0.649 0.351 0.750
Sr: 0.351 0.649 0.250
Mo: 0.130 0.870 0.750
Mo: 0.870 0.130 0.250
Mo: 0.762 0.899 0.750
Mo: 0.238 0.101 0.250
Mo: 0.899 0.762 0.250
Mo: 0.101 0.238 0.750

---

Q: total energy of number 3 (SrMo)?
A: -61.80 eV for the cell shown